i.
Compound: BaRePd2
Source: Alexandria
Functional: GGA-PBE
Structure: relaxed

Space-group type: Fm-3m, No. 225
Magnetization in Bohr magnetons per cell: 3.672

Cell: 4.9731 4.9731 4.9731 Å, 60.00 60.00 60.00°
Element x y z (fractional)
Ba (0.0000, 0.0000, 0.0000)
Re (0.5000, 0.5000, 0.5000)
Pd (0.2500, 0.2500, 0.2500)
Pd (0.7500, 0.7500, 0.7500)

***

ii.
Compound: BaRePd2
Source: Alexandria
Functional: GGA-PBE
Structure: relaxed

Space-group type: I-42d, No. 122
Magnetization in Bohr magnetons per cell: 0.851

Cell: 9.0641 9.0641 9.0641 Å, 145.87 145.87 49.04°
Element x y z (fractional)
Ba (0.0000, 0.0000, 0.0000)
Ba (0.7500, 0.2500, 0.5000)
Re (0.2500, 0.7500, 0.5000)
Re (0.5000, 0.5000, 0.0000)
Pd (0.3584, 0.6250, 0.2334)
Pd (0.3750, 0.6084, 0.7334)
Pd (0.3916, 0.1250, 0.7666)
Pd (0.8750, 0.6416, 0.2666)

***

Stability summary: most stable ii, least stable i.

***

i.
Compound: BaRe2PdS
Source: Alexandria
Functional: GGA-PBE
Structure: relaxed

Space-group type: P4/mmm, No. 123
Magnetization in Bohr magnetons per cell: 6.532

Cell: 5.3757 5.3757 5.1988 Å, 90.00 90.00 90.00°
Element x y z (fractional)
Ba (0.0000, 0.0000, 0.0000)
Re (0.0000, 0.5000, 0.0000)
Re (0.5000, 0.0000, 0.0000)
Pd (0.0000, 0.0000, 0.5000)
S (0.5000, 0.5000, 0.5000)

***

ii.
Compound: BaRe2PdS
Source: Alexandria
Functional: GGA-PBE
Structure: relaxed

Space-group type: P4/mmm, No. 123
Magnetization in Bohr magnetons per cell: 9.773

Cell: 6.0559 6.0559 5.5028 Å, 90.00 90.00 90.00°
Element x y z (fractional)
Ba (0.0000, 0.0000, 0.0000)
Re (0.0000, 0.5000, 0.0000)
Re (0.5000, 0.0000, 0.0000)
Pd (0.5000, 0.5000, 0.5000)
S (0.0000, 0.0000, 0.5000)

***

Stability summary: most stable ii, least stable i.

***

i.
Compound: BaPd2Rh
Source: Alexandria
Functional: GGA-PBE
Structure: relaxed

Space-group type: Fm-3m, No. 225
Magnetization in Bohr magnetons per cell: 0.011

Cell: 4.8824 4.8824 4.8824 Å, 60.00 60.00 60.00°
Element x y z (fractional)
Ba (0.0000, 0.0000, 0.0000)
Pd (0.2500, 0.2500, 0.2500)
Pd (0.7500, 0.7500, 0.7500)
Rh (0.5000, 0.5000, 0.5000)

***

ii.
Compound: BaPd2Rh
Source: Alexandria
Functional: GGA-PBE
Structure: relaxed

Space-group type: I-42d, No. 122
Magnetization in Bohr magnetons per cell: 0.000

Cell: 9.4354 9.4354 9.4354 Å, 149.13 149.13 44.22°
Element x y z (fractional)
Ba (0.0000, 0.0000, 0.0000)
Ba (0.7500, 0.2500, 0.5000)
Pd (0.3278, 0.6250, 0.2028)
Pd (0.3750, 0.5778, 0.7028)
Pd (0.4222, 0.1250, 0.7972)
Pd (0.8750, 0.6722, 0.2972)
Rh (0.2500, 0.7500, 0.5000)
Rh (0.5000, 0.5000, 0.0000)

***

Stability summary: most stable ii, least stable i.

***

i.
Compound: BaPd2Rh2
Source: Alexandria
Functional: GGA-PBE
Structure: relaxed

Space-group type: P4/mbm, No. 127
Magnetization in Bohr magnetons per cell: 1.384

Cell: 7.9503 7.9503 2.9916 Å, 90.00 90.00 90.00°
Element x y z (fractional)
Ba (0.0000, 0.0000, 0.0000)
Ba (0.5000, 0.5000, 0.0000)
Pd (0.1797, 0.3203, 0.5000)
Pd (0.3203, 0.8203, 0.5000)
Pd (0.6797, 0.1797, 0.5000)
Pd (0.8203, 0.6797, 0.5000)
Rh (0.1157, 0.6157, 0.0000)
Rh (0.3843, 0.1157, 0.0000)
Rh (0.6157, 0.8843, 0.0000)
Rh (0.8843, 0.3843, 0.0000)

***

ii.
Compound: BaPd2Rh2
Source: Alexandria
Functional: GGA-PBE
Structure: relaxed

Space-group type: P4/mbm, No. 127
Magnetization in Bohr magnetons per cell: 0.000

Cell: 7.9830 7.9830 2.9483 Å, 90.00 90.00 90.00°
Element x y z (fractional)
Ba (0.0000, 0.0000, 0.0000)
Ba (0.5000, 0.5000, 0.0000)
Pd (0.1234, 0.3766, 0.0000)
Pd (0.3766, 0.8766, 0.0000)
Pd (0.6234, 0.1234, 0.0000)
Pd (0.8766, 0.6234, 0.0000)
Rh (0.1718, 0.6718, 0.5000)
Rh (0.3282, 0.1718, 0.5000)
Rh (0.6718, 0.8282, 0.5000)
Rh (0.8282, 0.3282, 0.5000)

***

Stability summary: most stable i, least stable ii.

***

i.
Compound: BaPd2Rh2
Source: Alexandria
Functional: GGA-PBE
Structure: relaxed

Space-group type: I4/mmm, No. 139
Magnetization in Bohr magnetons per cell: 1.876

Cell: 6.7828 6.7828 6.7828 Å, 144.80 144.80 50.63°
Element x y z (fractional)
Ba (0.0000, 0.0000, 0.0000)
Pd (0.3895, 0.3895, 0.0000)
Pd (0.6105, 0.6105, 0.0000)
Rh (0.2500, 0.7500, 0.5000)
Rh (0.7500, 0.2500, 0.5000)

***

ii.
Compound: BaPd2Rh2
Source: Alexandria
Functional: GGA-PBE
Structure: relaxed

Space-group type: I4/mmm, No. 139
Magnetization in Bohr magnetons per cell: 0.325

Cell: 6.1085 6.1085 6.1085 Å, 136.86 136.86 62.66°
Element x y z (fractional)
Ba (0.0000, 0.0000, 0.0000)
Pd (0.2500, 0.7500, 0.5000)
Pd (0.7500, 0.2500, 0.5000)
Rh (0.3850, 0.3850, 0.0000)
Rh (0.6150, 0.6150, 0.0000)

***

Stability summary: most stable ii, least stable i.

***

i.
Compound: Ba8Pd2Rh
Source: Alexandria
Functional: GGA-PBE
Structure: relaxed

Space-group type: C2/m, No. 12
Magnetization in Bohr magnetons per cell: 0.000

Cell: 8.6693 8.6693 8.5498 Å, 90.20 90.20 57.60°
Element x y z (fractional)
Ba (0.1938, 0.1938, 0.6200)
Ba (0.2042, 0.7231, 0.7554)
Ba (0.2769, 0.7958, 0.2446)
Ba (0.2846, 0.2846, 0.1023)
Ba (0.7154, 0.7154, 0.8977)
Ba (0.7231, 0.2042, 0.7554)
Ba (0.7958, 0.2769, 0.2446)
Ba (0.8062, 0.8062, 0.3800)
Pd (0.0952, 0.0952, 0.9573)
Pd (0.9048, 0.9048, 0.0427)
Rh (0.0000, 0.0000, 0.5000)

***

ii.
Compound: Ba8Pd2Rh
Source: Alexandria
Functional: GGA-PBE
Structure: relaxed

Space-group type: C2/m, No. 12
Magnetization in Bohr magnetons per cell: 0.000

Cell: 9.4175 9.4175 7.7795 Å, 107.71 107.71 54.89°
Element x y z (fractional)
Ba (0.1075, 0.1075, 0.4091)
Ba (0.1188, 0.6363, 0.0704)
Ba (0.3637, 0.8812, 0.9296)
Ba (0.3696, 0.3696, 0.5676)
Ba (0.6304, 0.6304, 0.4324)
Ba (0.6363, 0.1188, 0.0704)
Ba (0.8812, 0.3637, 0.9296)
Ba (0.8925, 0.8925, 0.5909)
Pd (0.2511, 0.2511, 0.8012)
Pd (0.7489, 0.7489, 0.1988)
Rh (0.0000, 0.0000, 0.0000)

***

Stability summary: most stable i, least stable ii.